Record 1
DFT (GGA-PBE) results for a relaxed structure of BeSiAs2.

The structure in CIF format:
```
data_BeSiAs2
_symmetry_space_group_name_H-M 'I -4 m 2'
_symmetry_Int_Tables_number 119
_symmetry_space_group_name_Hall 'I -4 -2'
_cell_length_a 3.5423
_cell_length_b 3.5423
_cell_length_c 10.5702
_cell_angle_alpha 90.00
_cell_angle_beta 90.00
_cell_angle_gamma 90.00
loop_
_atom_site_label
_atom_site_type_symbol
_atom_site_fract_x
_atom_site_fract_y
_atom_site_fract_z
_atom_site_occupancy
Be1 Be 0.0000 0.0000 0.0000 1
Si1 Si 0.0000 0.5000 0.7500 1
As1 As 0.0000 0.0000 0.5000 1
As2 As 0.0000 0.5000 0.2500 1
```

Energy   -4.07 eV per atom
Raw formation energy   0.5458 eV per atom
Crystal system   tetragonal



Record 2
DFT (GGA-PBE) results for a relaxed structure of BeSiAs2.

The structure in CIF format:
```
data_BeSiAs2
_symmetry_space_group_name_H-M 'C 1 2/m 1'
_symmetry_Int_Tables_number 12
_symmetry_space_group_name_Hall '-C 2y'
_cell_length_a 6.2528
_cell_length_b 3.6079
_cell_length_c 6.0557
_cell_angle_alpha 90.00
_cell_angle_beta 109.50
_cell_angle_gamma 90.00
loop_
_atom_site_label
_atom_site_type_symbol
_atom_site_fract_x
_atom_site_fract_y
_atom_site_fract_z
_atom_site_occupancy
Be1 Be 0.0000 0.0000 0.0000 1
Si1 Si 0.0000 0.5000 0.5000 1
As1 As 0.2502 0.0000 0.7674 1
```

Energy   -4.41 eV per atom
Raw formation energy   0.1985 eV per atom
Crystal system   monoclinic



Record 3
DFT (GGA-PBE) results for a relaxed structure of BeSiAs2.

The structure in CIF format:
```
data_BeSiAs2
_symmetry_space_group_name_H-M 'F m -3 m'
_symmetry_Int_Tables_number 225
_symmetry_space_group_name_Hall '-F 4 2 3'
_cell_length_a 6.3097
_cell_length_b 6.3097
_cell_length_c 6.3097
_cell_angle_alpha 90.00
_cell_angle_beta 90.00
_cell_angle_gamma 90.00
loop_
_atom_site_label
_atom_site_type_symbol
_atom_site_fract_x
_atom_site_fract_y
_atom_site_fract_z
_atom_site_occupancy
Be1 Be 0.0000 0.0000 0.0000 1
Si1 Si 0.0000 0.0000 0.5000 1
As1 As 0.2500 0.2500 0.2500 1
```

Energy   -4.03 eV per atom
Raw formation energy   0.5833 eV per atom
Crystal system   cubic



Record 4
DFT (GGA-PBE) results for a relaxed structure of BeSiAs.

The structure in CIF format:
```
data_BeSiAs
_symmetry_space_group_name_H-M 'I 4 m m'
_symmetry_Int_Tables_number 107
_symmetry_space_group_name_Hall 'I 4 -2'
_cell_length_a 2.7354
_cell_length_b 2.7354
_cell_length_c 11.9083
_cell_angle_alpha 90.00
_cell_angle_beta 90.00
_cell_angle_gamma 90.00
loop_
_atom_site_label
_atom_site_type_symbol
_atom_site_fract_x
_atom_site_fract_y
_atom_site_fract_z
_atom_site_occupancy
Be1 Be 0.0000 0.0000 0.0000 1
Si1 Si 0.0000 0.0000 0.3705 1
As1 As 0.0000 0.0000 0.6456 1
```

Energy   -4.14 eV per atom
Raw formation energy   0.4633 eV per atom
Crystal system   tetragonal



Record 5
DFT (GGA-PBE) results for a relaxed structure of BeSi2As.

The structure in CIF format:
```
data_BeSi2As
_symmetry_space_group_name_H-M 'C m m 2'
_symmetry_Int_Tables_number 35
_symmetry_space_group_name_Hall 'C 2 -2'
_cell_length_a 3.6215
_cell_length_b 3.8549
_cell_length_c 8.5941
_cell_angle_alpha 90.00
_cell_angle_beta 90.00
_cell_angle_gamma 90.00
loop_
_atom_site_label
_atom_site_type_symbol
_atom_site_fract_x
_atom_site_fract_y
_atom_site_fract_z
_atom_site_occupancy
Be1 Be 0.0000 0.0000 0.0000 1
Si1 Si 0.0000 0.0000 0.5677 1
Si2 Si 0.0000 0.5000 0.8090 1
As1 As 0.0000 0.5000 0.2130 1
```

Energy   -4.35 eV per atom
Raw formation energy   0.4543 eV per atom
Crystal system   orthorhombic



Record 6
DFT (GGA-PBE) results for a relaxed structure of BeSiAs2.

The structure in CIF format:
```
data_BeSiAs2
_symmetry_space_group_name_H-M 'I m m m'
_symmetry_Int_Tables_number 71
_symmetry_space_group_name_Hall '-I 2 2'
_cell_length_a 3.5620
_cell_length_b 5.3173
_cell_length_c 7.0418
_cell_angle_alpha 90.00
_cell_angle_beta 90.00
_cell_angle_gamma 90.00
loop_
_atom_site_label
_atom_site_type_symbol
_atom_site_fract_x
_atom_site_fract_y
_atom_site_fract_z
_atom_site_occupancy
Be1 Be 0.0000 0.0000 0.0000 1
Si1 Si 0.0000 0.0000 0.5000 1
As1 As 0.0000 0.5000 0.2853 1
```

Energy   -4.13 eV per atom
Raw formation energy   0.4846 eV per atom
Crystal system   orthorhombic



Record 7
DFT (GGA-PBE) results for a relaxed structure of BeSiAs2.

The structure in CIF format:
```
data_BeSiAs2
_symmetry_space_group_name_H-M 'P 1 2/m 1'
_symmetry_Int_Tables_number 10
_symmetry_space_group_name_Hall '-P 2y'
_cell_length_a 4.3615
_cell_length_b 3.5544
_cell_length_c 4.4413
_cell_angle_alpha 90.00
_cell_angle_beta 106.15
_cell_angle_gamma 90.00
loop_
_atom_site_label
_atom_site_type_symbol
_atom_site_fract_x
_atom_site_fract_y
_atom_site_fract_z
_atom_site_occupancy
Be1 Be 0.0000 0.0000 0.0000 1
Si1 Si 0.5000 0.0000 0.5000 1
As1 As 0.2390 0.5000 0.7772 1
```

Energy   -4.29 eV per atom
Raw formation energy   0.3203 eV per atom
Crystal system   monoclinic



Record 8
DFT (GGA-PBE) results for a relaxed structure of BeSi2As.

The structure in CIF format:
```
data_BeSi2As
_symmetry_space_group_name_H-M 'F -4 3 m'
_symmetry_Int_Tables_number 216
_symmetry_space_group_name_Hall 'F -4 2 3'
_cell_length_a 6.1492
_cell_length_b 6.1492
_cell_length_c 6.1492
_cell_angle_alpha 90.00
_cell_angle_beta 90.00
_cell_angle_gamma 90.00
loop_
_atom_site_label
_atom_site_type_symbol
_atom_site_fract_x
_atom_site_fract_y
_atom_site_fract_z
_atom_site_occupancy
Be1 Be 0.0000 0.0000 0.0000 1
Si1 Si 0.0000 0.0000 0.5000 1
Si2 Si 0.2500 0.2500 0.7500 1
As1 As 0.2500 0.2500 0.2500 1
```

Energy   -4.18 eV per atom
Raw formation energy   0.6279 eV per atom
Crystal system   cubic



Record 9
DFT (GGA-PBE) results for a relaxed structure of BeSiAs2.

The structure in CIF format:
```
data_BeSiAs2
_symmetry_space_group_name_H-M 'P 4 m m'
_symmetry_Int_Tables_number 99
_symmetry_space_group_name_Hall 'P 4 -2'
_cell_length_a 2.7414
_cell_length_b 2.7414
_cell_length_c 8.7726
_cell_angle_alpha 90.00
_cell_angle_beta 90.00
_cell_angle_gamma 90.00
loop_
_atom_site_label
_atom_site_type_symbol
_atom_site_fract_x
_atom_site_fract_y
_atom_site_fract_z
_atom_site_occupancy
Be1 Be 0.0000 0.0000 0.0000 1
Si1 Si 0.5000 0.5000 0.1817 1
As1 As 0.0000 0.0000 0.4245 1
As2 As 0.5000 0.5000 0.8065 1
```

Energy   -4.22 eV per atom
Raw formation energy   0.3896 eV per atom
Crystal system   tetragonal



Record 10
DFT (GGA-PBE) results for a relaxed structure of BeSiAs.

The structure in CIF format:
```
data_BeSiAs
_symmetry_space_group_name_H-M 'C 1 2/m 1'
_symmetry_Int_Tables_number 12
_symmetry_space_group_name_Hall '-C 2y'
_cell_length_a 6.6620
_cell_length_b 3.8749
_cell_length_c 8.5446
_cell_angle_alpha 90.00
_cell_angle_beta 103.98
_cell_angle_gamma 90.00
loop_
_atom_site_label
_atom_site_type_symbol
_atom_site_fract_x
_atom_site_fract_y
_atom_site_fract_z
_atom_site_occupancy
Be1 Be 0.0697 0.0000 0.3852 1
Si1 Si 0.1812 0.5000 0.0466 1
As1 As 0.2124 0.5000 0.3321 1
```

Energy   -4.65 eV per atom
Raw formation energy   -0.0540 eV per atom
Crystal system   monoclinic



Record 11
DFT (GGA-PBE) results for a relaxed structure of BeSi2As.

The structure in CIF format:
```
data_BeSi2As
_symmetry_space_group_name_H-M 'I m m 2'
_symmetry_Int_Tables_number 44
_symmetry_space_group_name_Hall 'I 2 -2'
_cell_length_a 3.4707
_cell_length_b 5.0321
_cell_length_c 7.0101
_cell_angle_alpha 90.00
_cell_angle_beta 90.00
_cell_angle_gamma 90.00
loop_
_atom_site_label
_atom_site_type_symbol
_atom_site_fract_x
_atom_site_fract_y
_atom_site_fract_z
_atom_site_occupancy
Be1 Be 0.0000 0.0000 0.0000 1
Si1 Si 0.0000 0.0000 0.5177 1
Si2 Si 0.0000 0.5000 0.2747 1
As1 As 0.0000 0.5000 0.7242 1
```

Energy   -4.26 eV per atom
Raw formation energy   0.5469 eV per atom
Crystal system   orthorhombic



Record 12
DFT (GGA-PBE) results for a relaxed structure of BeSiAs2.

The structure in CIF format:
```
data_BeSiAs2
_symmetry_space_group_name_H-M 'F -4 3 m'
_symmetry_Int_Tables_number 216
_symmetry_space_group_name_Hall 'F -4 2 3'
_cell_length_a 6.3884
_cell_length_b 6.3884
_cell_length_c 6.3884
_cell_angle_alpha 90.00
_cell_angle_beta 90.00
_cell_angle_gamma 90.00
loop_
_atom_site_label
_atom_site_type_symbol
_atom_site_fract_x
_atom_site_fract_y
_atom_site_fract_z
_atom_site_occupancy
Be1 Be 0.0000 0.0000 0.0000 1
Si1 Si 0.2500 0.2500 0.2500 1
As1 As 0.0000 0.0000 0.5000 1
As2 As 0.2500 0.2500 0.7500 1
```

Energy   -3.93 eV per atom
Raw formation energy   0.6834 eV per atom
Crystal system   cubic